Density functional theory data (GGA-PBE) for an optimized crystal structure of HgBi2Te2.

Results
DOS at the Fermi energy = 3.25 states/eV per cell
Space group = I4/mmm (139)
Energy relative to the elements, uncorrected = 143.4 meV per atom
Distance to the lowest polymorph of the same formula = 201 meV per atom

a b c (Å): 4.7544 4.7544 8.4275
angles (deg): 73.62 73.62 90.00
Positions (direct):
Te (0.4049, 0.4049, 0.1902)
Te (0.5951, 0.5951, 0.8098)
Bi (0.7500, 0.2500, 0.5000)
Bi (0.2500, 0.7500, 0.5000)
Hg (0.0000, 0.0000, 0.0000)

=====

Density functional theory data (GGA-PBE) for an optimized crystal structure of Y5TlRu4.

Results
DOS at the Fermi energy = 6.59 states/eV per cell
Space group = P4/mmm (123)
Calculated formation energy = -335 meV per atom

a b c (Å): 3.4293 3.4293 18.3228
angles (deg): 90.00 90.00 90.00
Positions (direct):
Y (0.5000, 0.5000, 0.1313)
Y (0.5000, 0.5000, 0.3157)
Y (0.5000, 0.5000, 0.5000)
Y (0.5000, 0.5000, 0.6843)
Y (0.5000, 0.5000, 0.8687)
Tl (0.0000, 0.0000, 0.0000)
Ru (0.0000, 0.0000, 0.2175)
Ru (0.0000, 0.0000, 0.4065)
Ru (0.0000, 0.0000, 0.5935)
Ru (0.0000, 0.0000, 0.7825)

=====

Density functional theory data (GGA-PBE) for an optimized crystal structure of Cs4Cd2F.

Results
DOS at the Fermi energy = 3.97 states/eV per cell
Space group = I4/mmm (139)
Energy relative to the elements, uncorrected = -688.3 meV per atom

a b c (Å): 6.9511 6.9511 9.7646
angles (deg): 69.15 69.15 90.00
Positions (direct):
Cs (0.8300, 0.8300, 0.3400)
Cs (0.1700, 0.1700, 0.6600)
Cs (0.0000, 0.5000, 0.0000)
Cs (0.5000, 0.0000, 0.0000)
Cd (0.5918, 0.5918, 0.8164)
Cd (0.4082, 0.4082, 0.1836)
F (0.0000, 0.0000, 0.0000)

=====

Density functional theory data (GGA-PBE) for an optimized crystal structure of TaTiBe.

Results
DOS at the Fermi energy = 14.89 states/eV per cell
Space group = P2_13 (198)
Distance to the lowest polymorph of the same formula = 65 meV per atom
Calculated formation energy = 322 meV per atom

a b c (Å): 5.6945 5.6945 5.6945
angles (deg): 90.00 90.00 90.00
Positions (direct):
Ti (0.3494, 0.6506, 0.1506)
Ti (0.1506, 0.3494, 0.6506)
Ti (0.6506, 0.1506, 0.3494)
Ti (0.8494, 0.8494, 0.8494)
Be (0.4900, 0.4900, 0.4900)
Be (0.0100, 0.5100, 0.9900)
Be (0.9900, 0.0100, 0.5100)
Be (0.5100, 0.9900, 0.0100)
Ta (0.1527, 0.1527, 0.1527)
Ta (0.6527, 0.3473, 0.8473)
Ta (0.3473, 0.8473, 0.6527)
Ta (0.8473, 0.6527, 0.3473)

=====

Density functional theory data (GGA-PBE) for an optimized crystal structure of Na6Hg2Sb.

Results
DOS at the Fermi energy = 8.24 states/eV per cell
Space group = Immm (71)
Energy relative to the elements, uncorrected = -219.7 meV per atom

a b c (Å): 8.8751 8.8751 8.8751
angles (deg): 104.51 114.85 109.22
Positions (direct):
Na (0.5404, 0.7217, 0.8188)
Na (0.4596, 0.2783, 0.1812)
Na (0.0971, 0.2783, 0.8188)
Na (0.9029, 0.7217, 0.1812)
Na (0.8131, 0.7483, 0.5614)
Na (0.1869, 0.2517, 0.4386)
Na (0.1869, 0.7483, 0.9352)
Na (0.8131, 0.2517, 0.0648)
Na (0.7231, 0.3884, 0.6653)
Na (0.2769, 0.6116, 0.3347)
Na (0.2769, 0.9422, 0.6653)
Na (0.7231, 0.0578, 0.3347)
Hg (0.5000, 0.3604, 0.8604)
Hg (0.5000, 0.6396, 0.1396)
Hg (0.6568, 0.0000, 0.6568)
Hg (0.3432, 0.0000, 0.3432)
Sb (0.0000, 0.5000, 0.5000)
Sb (0.0000, 0.0000, 0.0000)

=====

Density functional theory data (GGA-PBE) for an optimized crystal structure of SiBPN4.

Results
DOS at the Fermi energy = 0.04 states/eV per cell
Space group = P1 (1)
Energy relative to the elements, uncorrected = -120.8 meV per atom
Distance to the lowest polymorph of the same formula = 708 meV per atom

a b c (Å): 5.6321 5.9225 5.9266
angles (deg): 61.13 88.37 63.05
Positions (direct):
P (0.4232, 0.3270, 0.7446)
P (0.4247, 0.7388, 0.6874)
Si (0.4838, 0.3497, 0.2085)
Si (0.9416, 0.6754, 0.5278)
B (0.8793, 0.2187, 0.5167)
B (0.7561, 0.6896, 0.0806)
N (0.8968, 0.4905, 0.3803)
N (0.9683, 0.5708, 0.9059)
N (0.5160, 0.6590, 0.0021)
N (0.2230, 0.3749, 0.0238)
N (0.6913, 0.0057, 0.0040)
N (0.5866, 0.2660, 0.5191)
N (0.0854, 0.9257, 0.5968)
N (0.7355, 0.0234, 0.2274)

=====

Density functional theory data (GGA-PBE) for an optimized crystal structure of V6Pd2N.

Results
DOS at the Fermi energy = 11.18 states/eV per cell
Space group = P-62m (189)
Energy relative to the elements, uncorrected = -201.6 meV per atom

a b c (Å): 2.9270 6.7840 6.7840
angles (deg): 120.00 90.00 90.00
Positions (direct):
V (0.0000, 0.7718, 0.0000)
V (0.0000, 0.0000, 0.7718)
V (0.0000, 0.2282, 0.2282)
V (0.5000, 0.6519, 0.6519)
V (0.5000, 0.0000, 0.3481)
V (0.5000, 0.3481, 0.0000)
Pd (0.0000, 0.3333, 0.6667)
Pd (0.0000, 0.6667, 0.3333)
N (0.5000, 0.0000, 0.0000)

=====

Density functional theory data (GGA-PBE) for an optimized crystal structure of ZrCdSi2.

Results
DOS at the Fermi energy = 1.90 states/eV per cell
Space group = I-42d (122)
Energy relative to the elements, uncorrected = 196.6 meV per atom

a b c (Å): 7.2712 7.2712 5.9455
angles (deg): 52.30 52.30 90.00
Positions (direct):
Si (0.6386, 0.1250, 0.2500)
Si (0.1114, 0.6250, 0.2500)
Si (0.3750, 0.3614, 0.7500)
Si (0.8750, 0.8886, 0.7500)
Zr (0.5000, 0.5000, 0.0000)
Zr (0.2500, 0.7500, 0.5000)
Cd (0.0000, 0.0000, 0.0000)
Cd (0.7500, 0.2500, 0.5000)

=====

Density functional theory data (GGA-PBE) for an optimized crystal structure of Sm2CdPd3.

Results
DOS at the Fermi energy = 2.72 states/eV per cell
Space group = Immm (71)
Distance to the lowest polymorph of the same formula = 193 meV per atom
Calculated formation energy = -546 meV per atom

a b c (Å): 4.7195 5.6035 6.3419
angles (deg): 116.22 111.84 90.00
Positions (direct):
Sm (0.6834, 0.1834, 0.3669)
Sm (0.3166, 0.8166, 0.6331)
Cd (0.0000, 0.5000, 0.0000)
Pd (0.3649, 0.3649, 0.7297)
Pd (0.0000, 0.0000, 0.0000)
Pd (0.6351, 0.6351, 0.2703)

=====

Density functional theory data (GGA-PBE) for an optimized crystal structure of ScTlPt.

Results
DOS at the Fermi energy = 2.40 states/eV per cell
Space group = P-6m2 (187)
Calculated formation energy = -509 meV per atom

a b c (Å): 4.7154 4.7154 3.1343
angles (deg): 90.00 90.00 120.00
Positions (direct):
Pt (0.0000, 0.0000, 0.8340)
Sc (0.6667, 0.3333, 0.3332)
Tl (0.3333, 0.6667, 0.8328)

=====

Density functional theory data (GGA-PBE) for an optimized crystal structure of Mg8PtPb2.

Results
DOS at the Fermi energy = 3.90 states/eV per cell
Space group = C2/m (12)
Calculated formation energy = -222 meV per atom

a b c (Å): 4.8910 6.9198 8.4647
angles (deg): 112.89 106.79 90.00
Positions (direct):
Mg (0.3823, 0.6067, 0.7646)
Mg (0.6409, 0.9017, 0.2819)
Mg (0.8179, 0.7903, 0.6358)
Mg (0.9916, 0.2086, 0.9832)
Mg (0.1821, 0.2097, 0.3642)
Mg (0.3591, 0.0983, 0.7181)
Mg (0.6177, 0.3933, 0.2354)
Mg (0.0084, 0.7914, 0.0168)
Pt (0.5000, 0.0000, 0.0000)
Pb (0.8214, 0.3236, 0.6427)
Pb (0.1786, 0.6764, 0.3573)

=====

Density functional theory data (GGA-PBE) for an optimized crystal structure of AcCe2Er.

Results
DOS at the Fermi energy = 11.73 states/eV per cell
Space group = R-3m (166)
Distance to the lowest polymorph of the same formula = 144 meV per atom
Calculated formation energy = 293 meV per atom

a b c (Å): 3.5111 3.5111 12.7815
angles (deg): 82.11 82.11 60.00
Last column: magnetic moment on the atom in μB.
Positions (direct):
Ac (0.0000, 0.0000, 0.0000)  -0.01
Ce (0.0908, 0.0908, 0.7276)  0.69
Ce (0.9092, 0.9092, 0.2724)  0.69
Er (0.5000, 0.5000, 0.5000)  -0.03

=====

Density functional theory data (GGA-PBE) for an optimized crystal structure of Ce4PuAu2.

Results
DOS at the Fermi energy = 59.13 states/eV per cell
Space group = Pnma (62)
Distance to the lowest polymorph of the same formula = 0 meV per atom
Calculated formation energy = -321 meV per atom

a b c (Å): 6.5238 8.6553 12.8049
angles (deg): 90.00 90.00 90.00
Last column: magnetic moment on the atom in μB.
Positions (direct):
Au (0.7500, 0.4201, 0.2730)  0.01
Au (0.2500, 0.5799, 0.7270)  0.01
Au (0.2500, 0.0799, 0.7730)  0.01
Au (0.7500, 0.9201, 0.2270)  0.01
Au (0.7500, 0.9772, 0.6607)  -0.01
Au (0.2500, 0.0228, 0.3393)  -0.01
Au (0.2500, 0.5228, 0.1607)  -0.01
Au (0.7500, 0.4772, 0.8393)  -0.01
Ce (0.5046, 0.7986, 0.8611)  -0.04
Ce (0.4954, 0.2014, 0.1389)  -0.04
Ce (0.4954, 0.7014, 0.3611)  -0.04
Ce (0.0046, 0.2014, 0.1389)  -0.04
Ce (0.5046, 0.2986, 0.6389)  -0.04
Ce (0.9954, 0.7986, 0.8611)  -0.04
Ce (0.9954, 0.2986, 0.6389)  -0.04
Ce (0.0046, 0.7014, 0.3611)  -0.04
Ce (0.7500, 0.1466, 0.8946)  0.04
Ce (0.2500, 0.8534, 0.1054)  0.04
Ce (0.2500, 0.3534, 0.3946)  0.04
Ce (0.7500, 0.6466, 0.6054)  0.04
Ce (0.7500, 0.1292, 0.4218)  0.14
Ce (0.2500, 0.8708, 0.5782)  0.14
Ce (0.2500, 0.3708, 0.9218)  0.14
Ce (0.7500, 0.6292, 0.0782)  0.14
Pu (0.7500, 0.8966, 0.9930)  2.46
Pu (0.2500, 0.1034, 0.0070)  2.46
Pu (0.2500, 0.6034, 0.4930)  2.46
Pu (0.7500, 0.3966, 0.5070)  2.46

=====

Density functional theory data (GGA-PBE) for an optimized crystal structure of Ba2HOsO6.

Results
DOS at the Fermi energy = 2.81 states/eV per cell
Space group = Cm (8)
Final energy = -6.645 eV/atom

a b c (Å): 6.1504 6.1483 5.9728
angles (deg): 119.15 119.17 96.81
Last column: magnetic moment on the atom in μB.
Positions (direct):
Ba (0.7665, 0.2375, 0.5009)  0.01
Ba (0.2370, 0.7671, 0.5009)  0.01
H (0.6119, 0.6124, 0.3031)  0.00
Os (0.9973, 0.9978, 0.9943)  0.61
O (0.6932, 0.6938, 0.8050)  -0.01
O (0.7883, 0.7886, 0.4679)  0.01
O (0.2370, 0.2372, 0.0205)  0.00
O (0.7850, 0.2061, 0.9865)  0.09
O (0.1773, 0.1781, 0.4316)  0.09
O (0.2055, 0.7855, 0.9872)  0.09

=====

Density functional theory data (GGA-PBE) for an optimized crystal structure of Al2CdSn.

Results
DOS at the Fermi energy = 1.36 states/eV per cell
Space group = P4/mmm (123)
Calculated formation energy = 202 meV per atom

a b c (Å): 3.6332 3.6332 6.5472
angles (deg): 90.00 90.00 90.00
Positions (direct):
Al (0.0000, 0.0000, 0.7477)
Al (0.0000, 0.0000, 0.2523)
Sn (0.5000, 0.5000, 0.0000)
Cd (0.5000, 0.5000, 0.5000)

=====

Density functional theory data (GGA-PBE) for an optimized crystal structure of RbRh.

Results
DOS at the Fermi energy = 24.57 states/eV per cell
Space group = Fm-3m (225)
Calculated formation energy = 1614 meV per atom

a b c (Å): 6.3215 6.3215 6.3215
angles (deg): 90.00 90.00 90.00
Last column: magnetic moment on the atom in μB.
Positions (direct):
Rb (0.0000, 0.0000, 0.0000)  0.00
Rb (0.0000, 0.5000, 0.5000)  0.00
Rb (0.5000, 0.0000, 0.5000)  0.00
Rb (0.5000, 0.5000, 0.0000)  0.00
Rh (0.5000, 0.5000, 0.5000)  0.57
Rh (0.5000, 0.0000, 0.0000)  0.57
Rh (0.0000, 0.5000, 0.0000)  0.57
Rh (0.0000, 0.0000, 0.5000)  0.57

=====

Density functional theory data (GGA-PBE) for an optimized crystal structure of RbLi2MnCl6.

Results
Space group = P1 (1)
Energy relative to the elements, uncorrected = -1486.7 meV per atom

a b c (Å): 6.9560 6.9086 9.6420
angles (deg): 54.27 50.75 56.95
Last column: magnetic moment on the atom in μB.
Positions (direct):
Rb (0.7899, 0.8555, 0.6556)  0.00
Li (0.5131, 0.4953, 0.3327)  0.00
Li (0.9868, 0.1097, 0.9349)  0.00
Mn (0.3304, 0.3115, 0.0649)  3.65
Cl (0.5869, 0.2478, 0.1933)  0.06
Cl (0.2946, 0.9232, 0.1774)  0.01
Cl (0.9343, 0.4003, 0.3095)  -0.01
Cl (0.2492, 0.7222, 0.8739)  0.00
Cl (0.7098, 0.2389, 0.8065)  -0.01
Cl (0.2667, 0.3572, 0.6665)  0.00

=====

Density functional theory data (GGA-PBE) for an optimized crystal structure of La2MgZnS5.

Results
Space group = Cmc2_1 (36)
Energy relative to the elements, uncorrected = -1701.1 meV per atom

a b c (Å): 3.9688 8.6332 11.6429
angles (deg): 90.00 90.00 103.29
Positions (direct):
La (0.8674, 0.7349, 0.8048)
La (0.1153, 0.2306, 0.6892)
La (0.1326, 0.2651, 0.3048)
La (0.8847, 0.7694, 0.1892)
Mg (0.7951, 0.5902, 0.5130)
Mg (0.2049, 0.4098, 0.0130)
Zn (0.5548, 0.1097, 0.9565)
Zn (0.4452, 0.8903, 0.4565)
S (0.3553, 0.7106, 0.0019)
S (0.6880, 0.3759, 0.8598)
S (0.4967, 0.9935, 0.7765)
S (0.2886, 0.5773, 0.6634)
S (0.9506, 0.9012, 0.5589)
S (0.6447, 0.2894, 0.5019)
S (0.3120, 0.6241, 0.3598)
S (0.5033, 0.0065, 0.2765)
S (0.7114, 0.4227, 0.1634)
S (0.0494, 0.0988, 0.0589)

=====

Density functional theory data (GGA-PBE) for an optimized crystal structure of MnNi2Br.

Results
DOS at the Fermi energy = 1.89 states/eV per cell
Space group = Fm-3m (225)
Energy relative to the elements, uncorrected = 573.4 meV per atom
Distance to the lowest polymorph of the same formula = 354 meV per atom

a b c (Å): 4.3272 4.3272 4.3272
angles (deg): 60.00 60.00 60.00
Last column: magnetic moment on the atom in μB.
Positions (direct):
Ni (0.2500, 0.2500, 0.2500)  0.45
Ni (0.7500, 0.7500, 0.7500)  0.45
Mn (0.0000, 0.0000, 0.0000)  3.82
Br (0.5000, 0.5000, 0.5000)  0.09

=====

Density functional theory data (GGA-PBE) for an optimized crystal structure of ScCoMo2.

Results
DOS at the Fermi energy = 3.64 states/eV per cell
Space group = Pm (6)
Distance to the lowest polymorph of the same formula = 117 meV per atom
Calculated formation energy = 133 meV per atom

a b c (Å): 4.2710 2.7756 5.3266
angles (deg): 80.65 90.00 90.00
Last column: magnetic moment on the atom in μB.
Positions (direct):
Co (0.5000, 0.7680, 0.7504)  0.40
Mo (0.0000, 0.0133, 0.0037)  -0.03
Mo (0.5000, 0.2199, 0.2326)  0.02
Sc (0.0000, 0.4988, 0.5133)  -0.05

=====

Density functional theory data (GGA-PBE) for an optimized crystal structure of SrHOs2.

Results
DOS at the Fermi energy = 6.21 states/eV per cell
Space group = Fm-3m (225)
Distance to the lowest polymorph of the same formula = 1745 meV per atom

a b c (Å): 4.5640 4.5640 4.5640
angles (deg): 60.00 60.00 60.00
Last column: magnetic moment on the atom in μB.
Positions (direct):
Sr (0.5000, 0.5000, 0.5000)  0.04
Os (0.2500, 0.2500, 0.2500)  1.16
Os (0.7500, 0.7500, 0.7500)  1.16
H (0.0000, 0.0000, 0.0000)  -0.01

=====

Density functional theory data (GGA-PBE) for an optimized crystal structure of NaMgTlO3.

Results
Space group = P2_1/m (11)
Energy relative to the elements, uncorrected = -1551.1 meV per atom

a b c (Å): 3.2801 8.0845 5.5904
angles (deg): 91.16 90.00 90.00
Positions (direct):
Na (0.7500, 0.6728, 0.5837)
Na (0.2500, 0.3272, 0.4163)
Mg (0.2500, 0.9988, 0.7400)
Mg (0.7500, 0.0012, 0.2600)
Tl (0.2500, 0.6784, 0.0913)
Tl (0.7500, 0.3216, 0.9087)
O (0.2500, 0.8644, 0.4042)
O (0.7500, 0.8547, 0.9280)
O (0.7500, 0.5047, 0.2331)
O (0.7500, 0.1356, 0.5958)
O (0.2500, 0.4953, 0.7669)
O (0.2500, 0.1453, 0.0720)

=====

Density functional theory data (GGA-PBE) for an optimized crystal structure of LiURu.

Results
DOS at the Fermi energy = 6.43 states/eV per cell
Space group = P1 (1)
Calculated formation energy = -16 meV per atom

a b c (Å): 3.2603 3.2587 12.6296
angles (deg): 96.74 97.70 58.41
Positions (direct):
U (0.5383, 0.4914, 0.3034)
U (0.9677, 0.9503, 0.1299)
Ru (0.6000, 0.0266, 0.4534)
Ru (0.4051, 0.9197, 0.9799)
Li (0.9340, 0.4167, 0.6168)
Li (0.6926, 0.1478, 0.8164)